No. 1
This record from the Alexandria database describes Al2VCu2 after structural relaxation. The functional is PBE.

Summary:
energy of formation = -0.09 eV/atom
uncorrected energy = -5.053 eV per atom
offset from the most stable computed form = 0.0142 eV per atom

CIF file:
```
data_Al2VCu2
_cell_length_a 7.112
_cell_length_b 7.112
_cell_length_c 2.691
_cell_angle_alpha 90.00
_cell_angle_beta 90.00
_cell_angle_gamma 90.00
_symmetry_space_group_name_H-M 'P 1'
_symmetry_Int_Tables_number 1
_symmetry_space_group_name_Hall 'P 1'
loop_
_atom_site_label
_atom_site_fract_x
_atom_site_fract_y
_atom_site_fract_z
Al1 0.176 0.324 0.000
Al2 0.324 0.824 0.000
Al3 0.676 0.176 0.000
Al4 0.824 0.676 0.000
V1 0.000 0.000 0.500
V2 0.500 0.500 0.500
Cu1 0.123 0.623 0.500
Cu2 0.377 0.123 0.500
Cu3 0.623 0.877 0.500
Cu4 0.877 0.377 0.500
```

---

No. 2
This record from the Alexandria database describes RbV2Ag after structural relaxation. The functional is PBE.

Summary:
energy of formation = 1.39 eV/atom
uncorrected energy = -4.127 eV per atom
offset from the most stable computed form = 0.0000 eV per atom

CIF file:
```
data_RbV2Ag
_cell_length_a 4.442
_cell_length_b 4.442
_cell_length_c 21.217
_cell_angle_alpha 90.00
_cell_angle_beta 90.00
_cell_angle_gamma 90.00
_symmetry_space_group_name_H-M 'P 1'
_symmetry_Int_Tables_number 1
_symmetry_space_group_name_Hall 'P 1'
loop_
_atom_site_label
_atom_site_fract_x
_atom_site_fract_y
_atom_site_fract_z
Rb1 0.000 0.000 0.000
Rb2 0.000 0.500 0.250
Rb3 0.500 0.000 0.750
Rb4 0.500 0.500 0.500
V1 0.020 0.250 0.625
V2 0.250 0.520 0.875
V3 0.250 0.980 0.375
V4 0.480 0.250 0.125
V5 0.520 0.750 0.125
V6 0.750 0.020 0.375
V7 0.750 0.480 0.875
V8 0.980 0.750 0.625
Ag1 0.000 0.000 0.500
Ag2 0.000 0.500 0.750
Ag3 0.500 0.000 0.250
Ag4 0.500 0.500 0.000
```

---

No. 3
This record from the Alexandria database describes K2YCuI6 after structural relaxation. The functional is PBE.

Summary:
uncorrected formation energy = -1.132 eV per atom
uncorrected energy = -3.338 eV per atom
offset from the most stable computed form = 0.0000 eV per atom

CIF file:
```
data_K2YCuI6
_cell_length_a 8.476
_cell_length_b 9.438
_cell_length_c 13.451
_cell_angle_alpha 90.00
_cell_angle_beta 128.48
_cell_angle_gamma 90.00
_symmetry_space_group_name_H-M 'P 1'
_symmetry_Int_Tables_number 1
_symmetry_space_group_name_Hall 'P 1'
loop_
_atom_site_label
_atom_site_fract_x
_atom_site_fract_y
_atom_site_fract_z
K1 0.217 0.103 0.246
K2 0.217 0.397 0.746
K3 0.783 0.603 0.254
K4 0.783 0.897 0.754
Y1 0.000 0.000 0.500
Y2 0.000 0.500 0.000
Cu1 0.500 0.000 0.000
Cu2 0.500 0.500 0.500
I1 0.110 0.220 0.948
I2 0.110 0.280 0.448
I3 0.247 0.659 0.946
I4 0.247 0.841 0.446
I5 0.393 0.031 0.783
I6 0.393 0.469 0.283
I7 0.607 0.531 0.717
I8 0.607 0.969 0.217
I9 0.753 0.159 0.554
I10 0.753 0.341 0.054
I11 0.890 0.720 0.552
I12 0.890 0.780 0.052
```

---

No. 4
This record from the Alexandria database describes HfC3Br after structural relaxation. The functional is PBE.

Summary:
uncorrected formation energy = 2.377 eV per atom
uncorrected energy = -5.483 eV per atom
offset from the most stable computed form = 0.0000 eV per atom

CIF file:
```
data_HfC3Br
_cell_length_a 4.441
_cell_length_b 4.441
_cell_length_c 4.441
_cell_angle_alpha 90.00
_cell_angle_beta 90.00
_cell_angle_gamma 90.00
_symmetry_space_group_name_H-M 'P 1'
_symmetry_Int_Tables_number 1
_symmetry_space_group_name_Hall 'P 1'
loop_
_atom_site_label
_atom_site_fract_x
_atom_site_fract_y
_atom_site_fract_z
Hf1 0.000 0.000 0.000
C1 0.000 0.000 0.500
C2 0.000 0.500 0.000
C3 0.500 0.000 0.000
Br1 0.500 0.500 0.500
```

---

No. 5
This record from the Alexandria database describes Tb2Y3Sc8 after structural relaxation. The functional is PBE.

Summary:
energy of formation = 0.25 eV/atom
uncorrected energy = -5.850 eV per atom

CIF file:
```
data_Tb2Y3Sc8
_cell_length_a 8.090
_cell_length_b 8.090
_cell_length_c 6.651
_cell_angle_alpha 106.62
_cell_angle_beta 106.62
_cell_angle_gamma 65.88
_symmetry_space_group_name_H-M 'P 1'
_symmetry_Int_Tables_number 1
_symmetry_space_group_name_Hall 'P 1'
loop_
_atom_site_label
_atom_site_fract_x
_atom_site_fract_y
_atom_site_fract_z
Tb1 0.243 0.243 0.422
Tb2 0.757 0.757 0.578
Y1 0.000 0.000 0.000
Y2 0.184 0.816 0.500
Y3 0.816 0.184 0.500
Sc1 0.188 0.564 0.846
Sc2 0.196 0.196 0.896
Sc3 0.436 0.812 0.154
Sc4 0.441 0.441 0.250
Sc5 0.559 0.559 0.750
Sc6 0.564 0.188 0.846
Sc7 0.804 0.804 0.104
Sc8 0.812 0.436 0.154
```

---

No. 6
This record from the Alexandria database describes CaCr2Rh after structural relaxation. The functional is PBE.

Summary:
energy of formation = 0.54 eV/atom
uncorrected energy = -6.606 eV per atom
offset from the most stable computed form = 0.3193 eV per atom

CIF file:
```
data_CaCr2Rh
_cell_length_a 2.917
_cell_length_b 4.420
_cell_length_c 9.740
_cell_angle_alpha 90.00
_cell_angle_beta 90.00
_cell_angle_gamma 90.00
_symmetry_space_group_name_H-M 'P 1'
_symmetry_Int_Tables_number 1
_symmetry_space_group_name_Hall 'P 1'
loop_
_atom_site_label
_atom_site_fract_x
_atom_site_fract_y
_atom_site_fract_z
Ca1 0.000 0.000 0.000
Ca2 0.500 0.500 0.500
Cr1 0.000 0.500 0.229
Cr2 0.000 0.500 0.771
Cr3 0.500 0.000 0.271
Cr4 0.500 0.000 0.729
Rh1 0.000 0.000 0.500
Rh2 0.500 0.500 0.000
```